(1)
Compound: TlBPS2
Source: Alexandria
Functional: GGA-PBEsol
Structure: relaxed

Values from the calculation:
The calculated volume comes out at 25.93 Å³/atom. Its uncorrected formation energy is 1926 meV/atom. Its density of states at the Fermi level is 4.02 states/eV/f.u.

Cell: 5.073 5.073 5.036 Å, 90.00 90.00 90.00°
Fractional coordinates of all 5 atoms:
Tl 0.000 0.000 0.000
B 0.500 0.500 0.500
P 0.000 0.000 0.500
S 0.000 0.500 0.000
S 0.500 0.000 0.000

(2)
Compound: ZnBP2S
Source: Alexandria
Functional: GGA-PBEsol
Structure: relaxed

Values from the calculation:
The calculated volume comes out at 14.05 Å³/atom. Its uncorrected formation energy is 731 meV/atom. Its density of states at the Fermi level is 2.71 states/eV/f.u.

Cell: 3.989 3.989 4.415 Å, 90.00 90.00 90.00°
Fractional coordinates of all 5 atoms:
Zn 0.000 0.000 0.000
B 0.500 0.500 0.500
P 0.000 0.500 0.500
P 0.500 0.000 0.500
S 0.500 0.500 0.000

(3)
Compound: BSb2P
Source: Alexandria
Functional: GGA-PBEsol
Structure: relaxed

Values from the calculation:
The calculated volume comes out at 17.88 Å³/atom. Its uncorrected formation energy is 972 meV/atom. Its density of states at the Fermi level is 1.02 states/eV/f.u.

Cell: 6.589 6.589 6.589 Å, 90.00 90.00 90.00°
Fractional coordinates of all 16 atoms:
B 0.000 0.000 0.000
B 0.000 0.500 0.500
B 0.500 0.000 0.500
B 0.500 0.500 0.000
Sb 0.250 0.250 0.250
Sb 0.250 0.250 0.750
Sb 0.250 0.750 0.250
Sb 0.250 0.750 0.750
Sb 0.750 0.250 0.250
Sb 0.750 0.250 0.750
Sb 0.750 0.750 0.250
Sb 0.750 0.750 0.750
P 0.000 0.000 0.500
P 0.000 0.500 0.000
P 0.500 0.000 0.000
P 0.500 0.500 0.500

(4)
Compound: BSbTe2P
Source: Alexandria
Functional: GGA-PBEsol
Structure: relaxed

Values from the calculation:
The calculated volume comes out at 21.38 Å³/atom. Its uncorrected formation energy is 897 meV/atom. Its density of states at the Fermi level is 3.50 states/eV/f.u.

Cell: 4.711 4.711 4.818 Å, 90.00 90.00 90.00°
Fractional coordinates of all 5 atoms:
B 0.000 0.000 0.000
Sb 0.000 0.000 0.500
Te 0.000 0.500 0.000
Te 0.500 0.000 0.000
P 0.500 0.500 0.500

(5)
Compound: ScBP3
Source: Alexandria
Functional: GGA-PBEsol
Structure: relaxed

Values from the calculation:
The value obtained for the energy of formation from the pure elements is 1.413 eV/atom. The calculated volume comes out at 22.41 Å³/atom. Its density of states at the Fermi level is 3.86 states/eV/f.u.

Cell: 4.821 4.821 4.821 Å, 90.00 90.00 90.00°
Fractional coordinates of all 5 atoms:
Sc 0.000 0.000 0.000
B 0.500 0.500 0.500
P 0.000 0.000 0.500
P 0.000 0.500 0.000
P 0.500 0.000 0.000

(6)
Compound: ScSnBP2
Source: Alexandria
Functional: GGA-PBEsol
Structure: relaxed

Values from the calculation:
The value obtained for the energy of formation from the pure elements is 1.291 eV/atom. The calculated volume comes out at 24.96 Å³/atom. Its density of states at the Fermi level is 3.27 states/eV/f.u.

Cell: 4.794 4.794 5.431 Å, 90.00 90.00 90.00°
Fractional coordinates of all 5 atoms:
Sc 0.000 0.000 0.000
Sn 0.000 0.000 0.500
B 0.500 0.500 0.500
P 0.000 0.500 0.000
P 0.500 0.000 0.000

(7)
Compound: BP2Se
Source: Alexandria
Functional: GGA-PBEsol
Structure: relaxed

Values from the calculation:
The calculated volume comes out at 15.43 Å³/atom. Its uncorrected formation energy is 231 meV/atom. Its density of states at the Fermi level is 1.81 states/eV/f.u.

Cell: 5.652 5.652 7.730 Å, 90.00 90.00 90.00°
Fractional coordinates of all 16 atoms:
B 0.000 0.000 0.000
B 0.000 0.500 0.250
B 0.500 0.000 0.750
B 0.500 0.500 0.500
P 0.168 0.250 0.125
P 0.250 0.668 0.375
P 0.250 0.832 0.875
P 0.332 0.250 0.625
P 0.668 0.750 0.625
P 0.750 0.168 0.875
P 0.750 0.332 0.375
P 0.832 0.750 0.125
Se 0.000 0.000 0.500
Se 0.000 0.500 0.750
Se 0.500 0.000 0.250
Se 0.500 0.500 0.000

(8)
Compound: Sn3BP
Source: Alexandria
Functional: GGA-PBEsol
Structure: relaxed

Values from the calculation:
The value obtained for the energy of formation from the pure elements is 1.331 eV/atom. The calculated volume comes out at 25.60 Å³/atom. Its density of states at the Fermi level is 2.90 states/eV/f.u.

Cell: 5.040 5.040 5.040 Å, 90.00 90.00 90.00°
Fractional coordinates of all 5 atoms:
Sn 0.000 0.000 0.500
Sn 0.000 0.500 0.000
Sn 0.500 0.000 0.000
B 0.500 0.500 0.500
P 0.000 0.000 0.000